Entry from the Alexandria database: crystalline LiTmOsRu at its relaxed geometry (PBE-GGA).

Lattice parameters (Å, degrees): 6.3785 6.3785 6.3785 90.00 90.00 90.00
Space group F-43m (No. 216)
Inequivalent atoms, fractional coordinates:
Li1 0.0000 0.0000 0.0000
Tm1 0.2500 0.2500 0.2500
Os1 0.0000 0.0000 0.5000
Ru1 0.2500 0.2500 0.7500

Fermi-level density of states = 0.80 states/eV/atom
Total magnetization = 0.00 μB/cell
Formation energy from the elements = 0.084 eV/atom